Density functional theory data (PBE-GGA) for ZrScNb2F after structural relaxation.

* symmetry: P4/mmm
* E_tot: -30.560 eV per cell
* size of the total moment: 1.72 μB per cell

Cell lengths 4.914, 4.914, 5.668 Å; angles 90.00, 90.00, 90.00 degrees
Atoms (fractional coordinates):
Zr  0.000  0.000  0.000
Sc  0.000  0.000  0.500
Nb  0.000  0.500  0.000
Nb  0.500  0.000  0.000
F  0.500  0.500  0.500